An optimized crystal structure of BaMnB3. Source: the Alexandria database, functional GGA-PBEsol.

Calculated values
Electronic total energy in eV/atom: -3.49
DOS(E_F) in states/eV/cell: 3.743

a b c (Å): 4.725 4.725 4.725
angles (deg): 90.00 90.00 90.00
Element x y z (fractional)
Ba: 0.000 0.000 0.000
B: 0.500 0.000 0.000
B: 0.000 0.500 0.000
B: 0.000 0.000 0.500
Mn: 0.500 0.500 0.500